*P*
DFT (PBE) results for crystalline K2RbBi2 at its relaxed geometry.

Cell: 5.957 7.804 9.596 Å, 90.00 90.00 90.00°
Element x y z (fractional)
K1 0.000 0.000 0.198
K2 0.000 0.000 0.802
K3 0.500 0.500 0.302
K4 0.500 0.500 0.698
Rb1 0.000 0.500 0.000
Rb2 0.500 0.000 0.500
Bi1 0.000 0.309 0.500
Bi2 0.000 0.691 0.500
Bi3 0.500 0.191 0.000
Bi4 0.500 0.809 0.000

*Q*
DFT (PBE) results for crystalline K2RbBi2 at its relaxed geometry.

Cell: 5.676 5.676 15.031 Å, 90.00 90.00 90.00°
Element x y z (fractional)
K1 0.000 0.500 0.250
K2 0.000 0.500 0.750
K3 0.500 0.000 0.250
K4 0.500 0.000 0.750
Rb1 0.000 0.000 0.000
Rb2 0.500 0.500 0.500
Bi1 0.000 0.000 0.402
Bi2 0.000 0.000 0.598
Bi3 0.500 0.500 0.098
Bi4 0.500 0.500 0.902

*R*
DFT (PBE) results for crystalline K2RbBi2 at its relaxed geometry.

Cell: 12.880 5.367 7.116 Å, 90.00 95.63 90.00°
Element x y z (fractional)
K1 0.147 0.000 0.364
K2 0.353 0.500 0.636
K3 0.647 0.500 0.364
K4 0.853 0.000 0.636
Rb1 0.000 0.500 0.000
Rb2 0.500 0.000 0.000
Bi1 0.211 0.000 0.886
Bi2 0.289 0.500 0.114
Bi3 0.711 0.500 0.886
Bi4 0.789 0.000 0.114

On energetic grounds, *P* is preferred over the next structure by 28 meV per atom.

*P*
DFT (PBE) results for crystalline K2RbBi2 at its relaxed geometry.

Cell: 9.523 9.523 5.118 Å, 90.00 90.00 90.00°
Element x y z (fractional)
K1 0.168 0.332 0.000
K2 0.332 0.832 0.000
K3 0.668 0.168 0.000
K4 0.832 0.668 0.000
Rb1 0.000 0.000 0.500
Rb2 0.500 0.500 0.500
Bi1 0.112 0.612 0.500
Bi2 0.388 0.112 0.500
Bi3 0.612 0.888 0.500
Bi4 0.888 0.388 0.500

*Q*
DFT (PBE) results for crystalline K2RbBi2 at its relaxed geometry.

Cell: 10.794 10.794 3.513 Å, 90.00 90.00 90.00°
Element x y z (fractional)
K1 0.120 0.380 0.000
K2 0.380 0.880 0.000
K3 0.620 0.120 0.000
K4 0.880 0.620 0.000
Rb1 0.000 0.000 0.000
Rb2 0.500 0.500 0.000
Bi1 0.177 0.677 0.500
Bi2 0.323 0.177 0.500
Bi3 0.677 0.823 0.500
Bi4 0.823 0.323 0.500

On energetic grounds, *P* is preferred over the next structure by 23 meV per atom.

*P*
DFT (PBE) results for crystalline KRbTlBi2 at its relaxed geometry.

Cell: 4.590 5.942 15.072 Å, 90.00 90.00 90.00°
Element x y z (fractional)
K1 0.000 0.000 0.000
K2 0.500 0.500 0.500
Rb1 0.000 0.500 0.265
Rb2 0.500 0.000 0.765
Tl1 0.000 0.500 0.670
Tl2 0.500 0.000 0.170
Bi1 0.000 0.000 0.528
Bi2 0.000 0.500 0.882
Bi3 0.500 0.000 0.382
Bi4 0.500 0.500 0.028

*Q*
DFT (PBE) results for crystalline KRbTlBi2 at its relaxed geometry.

Cell: 6.098 6.098 6.305 Å, 90.00 90.00 90.00°
Element x y z (fractional)
K1 0.000 0.000 0.000
Rb1 0.500 0.500 0.000
Tl1 0.000 0.000 0.500
Bi1 0.000 0.500 0.500
Bi2 0.500 0.000 0.500

On energetic grounds, *P* is preferred over the next structure by 238 meV per atom.

*P*
DFT (PBE) results for crystalline KRe3Bi at its relaxed geometry.

Cell: 4.714 4.714 4.714 Å, 90.00 90.00 90.00°
Element x y z (fractional)
K1 0.000 0.000 0.000
Re1 0.000 0.000 0.500
Re2 0.000 0.500 0.000
Re3 0.500 0.000 0.000
Bi1 0.500 0.500 0.500

*Q*
DFT (PBE) results for crystalline KRe3Bi at its relaxed geometry.

Cell: 5.164 5.164 5.164 Å, 90.00 90.00 90.00°
Element x y z (fractional)
K1 0.000 0.000 0.000
Re1 0.000 0.500 0.500
Re2 0.500 0.000 0.500
Re3 0.500 0.500 0.000
Bi1 0.500 0.500 0.500

On energetic grounds, *Q* is preferred over the next structure by 738 meV per atom.

*P*
DFT (PBE) results for crystalline KReBi2 at its relaxed geometry.

Cell: 7.454 7.454 12.983 Å, 90.00 90.00 90.00°
Element x y z (fractional)
K1 0.000 0.000 0.000
K2 0.000 0.500 0.250
K3 0.500 0.000 0.750
K4 0.500 0.500 0.500
Re1 0.000 0.000 0.500
Re2 0.000 0.500 0.750
Re3 0.500 0.000 0.250
Re4 0.500 0.500 0.000
Bi1 0.112 0.250 0.625
Bi2 0.250 0.612 0.875
Bi3 0.250 0.888 0.375
Bi4 0.388 0.250 0.125
Bi5 0.612 0.750 0.125
Bi6 0.750 0.112 0.375
Bi7 0.750 0.388 0.875
Bi8 0.888 0.750 0.625

*Q*
DFT (PBE) results for crystalline KReBi2 at its relaxed geometry.

Cell: 7.252 7.252 7.252 Å, 90.00 90.00 90.00°
Element x y z (fractional)
K1 0.000 0.000 0.000
K2 0.000 0.500 0.500
K3 0.500 0.000 0.500
K4 0.500 0.500 0.000
Re1 0.000 0.000 0.500
Re2 0.000 0.500 0.000
Re3 0.500 0.000 0.000
Re4 0.500 0.500 0.500
Bi1 0.250 0.250 0.250
Bi2 0.250 0.250 0.750
Bi3 0.250 0.750 0.250
Bi4 0.250 0.750 0.750
Bi5 0.750 0.250 0.250
Bi6 0.750 0.250 0.750
Bi7 0.750 0.750 0.250
Bi8 0.750 0.750 0.750

On energetic grounds, *P* is preferred over the next structure by 117 meV per atom.

*P*
DFT (PBE) results for crystalline KRe2Bi2 at its relaxed geometry.

Cell: 3.892 3.892 17.912 Å, 90.00 90.00 90.00°
Element x y z (fractional)
K1 0.000 0.000 0.000
K2 0.500 0.500 0.500
Re1 0.000 0.500 0.250
Re2 0.000 0.500 0.750
Re3 0.500 0.000 0.250
Re4 0.500 0.000 0.750
Bi1 0.000 0.000 0.365
Bi2 0.000 0.000 0.635
Bi3 0.500 0.500 0.135
Bi4 0.500 0.500 0.865

*Q*
DFT (PBE) results for crystalline KRe2Bi2 at its relaxed geometry.

Cell: 9.055 9.055 3.222 Å, 90.00 90.00 90.00°
Element x y z (fractional)
K1 0.000 0.000 0.000
K2 0.500 0.500 0.000
Re1 0.088 0.412 0.500
Re2 0.412 0.912 0.500
Re3 0.588 0.088 0.500
Re4 0.912 0.588 0.500
Bi1 0.177 0.677 0.000
Bi2 0.323 0.177 0.000
Bi3 0.677 0.823 0.000
Bi4 0.823 0.323 0.000

On energetic grounds, *P* is preferred over the next structure by 449 meV per atom.

*P*
DFT (PBE) results for crystalline K2BiRh2 at its relaxed geometry.

Cell: 3.536 3.536 22.871 Å, 90.00 90.00 90.00°
Element x y z (fractional)
K1 0.000 0.000 0.122
K2 0.000 0.000 0.878
K3 0.500 0.500 0.378
K4 0.500 0.500 0.622
Bi1 0.000 0.000 0.500
Bi2 0.500 0.500 0.000
Rh1 0.000 0.500 0.250
Rh2 0.000 0.500 0.750
Rh3 0.500 0.000 0.250
Rh4 0.500 0.000 0.750

*Q*
DFT (PBE) results for crystalline K2BiRh2 at its relaxed geometry.

Cell: 9.233 9.233 2.984 Å, 90.00 90.00 90.00°
Element x y z (fractional)
K1 0.117 0.383 0.000
K2 0.383 0.883 0.000
K3 0.617 0.117 0.000
K4 0.883 0.617 0.000
Bi1 0.000 0.000 0.000
Bi2 0.500 0.500 0.000
Rh1 0.187 0.687 0.500
Rh2 0.313 0.187 0.500
Rh3 0.687 0.813 0.500
Rh4 0.813 0.313 0.500

On energetic grounds, *P* is preferred over the next structure by 633 meV per atom.

*P*
DFT (PBE) results for crystalline KBi3Ru at its relaxed geometry.

Cell: 5.430 5.430 5.430 Å, 90.00 90.00 90.00°
Element x y z (fractional)
K1 0.000 0.000 0.000
Bi1 0.000 0.500 0.500
Bi2 0.500 0.000 0.500
Bi3 0.500 0.500 0.000
Ru1 0.500 0.500 0.500

*Q*
DFT (PBE) results for crystalline KBi3Ru at its relaxed geometry.

Cell: 5.670 5.670 5.670 Å, 90.00 90.00 90.00°
Element x y z (fractional)
K1 0.000 0.000 0.000
Bi1 0.000 0.000 0.500
Bi2 0.000 0.500 0.000
Bi3 0.500 0.000 0.000
Ru1 0.500 0.500 0.500

On energetic grounds, *P* is preferred over the next structure by 1789 meV per atom.

*P*
DFT (PBE) results for crystalline KBiRu3 at its relaxed geometry.

Cell: 5.125 5.125 5.125 Å, 90.00 90.00 90.00°
Element x y z (fractional)
K1 0.000 0.000 0.000
Bi1 0.500 0.500 0.500
Ru1 0.000 0.500 0.500
Ru2 0.500 0.000 0.500
Ru3 0.500 0.500 0.000

*Q*
DFT (PBE) results for crystalline KBiRu3 at its relaxed geometry.

Cell: 4.763 4.763 4.763 Å, 90.00 90.00 90.00°
Element x y z (fractional)
K1 0.000 0.000 0.000
Bi1 0.500 0.500 0.500
Ru1 0.000 0.000 0.500
Ru2 0.000 0.500 0.000
Ru3 0.500 0.000 0.000

On energetic grounds, *P* is preferred over the next structure by 884 meV per atom.

*P*
DFT (PBE) results for crystalline KBi2S4 at its relaxed geometry.

Cell: 7.047 7.047 14.118 Å, 90.00 90.00 146.66°
Element x y z (fractional)
K1 0.107 0.893 0.750
K2 0.893 0.107 0.250
Bi1 0.364 0.636 0.569
Bi2 0.364 0.636 0.931
Bi3 0.636 0.364 0.069
Bi4 0.636 0.364 0.431
S1 0.000 0.000 0.000
S2 0.000 0.000 0.500
S3 0.268 0.732 0.109
S4 0.268 0.732 0.391
S5 0.427 0.573 0.750
S6 0.573 0.427 0.250
S7 0.732 0.268 0.609
S8 0.732 0.268 0.891

*Q*
DFT (PBE) results for crystalline KBi2S4 at its relaxed geometry.

Cell: 8.053 8.053 8.053 Å, 111.24 111.24 105.98°
Element x y z (fractional)
K1 0.000 0.000 0.000
K2 0.750 0.250 0.500
Bi1 0.345 0.125 0.720
Bi2 0.375 0.655 0.780
Bi3 0.405 0.625 0.280
Bi4 0.875 0.595 0.220
S1 0.046 0.775 0.636
S2 0.139 0.410 0.364
S3 0.160 0.389 0.864
S4 0.225 0.861 0.270
S5 0.525 0.296 0.136
S6 0.590 0.954 0.730
S7 0.611 0.475 0.770
S8 0.704 0.840 0.230

On energetic grounds, *P* is preferred over the next structure by 41 meV per atom.

*P*
DFT (PBE) results for crystalline KBi3S at its relaxed geometry.

Cell: 5.578 5.578 5.578 Å, 90.00 90.00 90.00°
Element x y z (fractional)
K1 0.000 0.000 0.000
Bi1 0.000 0.500 0.500
Bi2 0.500 0.000 0.500
Bi3 0.500 0.500 0.000
S1 0.500 0.500 0.500

*Q*
DFT (PBE) results for crystalline KBi3S at its relaxed geometry.

Cell: 5.993 5.993 5.993 Å, 90.00 90.00 90.00°
Element x y z (fractional)
K1 0.000 0.000 0.000
Bi1 0.000 0.000 0.500
Bi2 0.000 0.500 0.000
Bi3 0.500 0.000 0.000
S1 0.500 0.500 0.500

On energetic grounds, *P* is preferred over the next structure by 1317 meV per atom.

*P*
DFT (PBE) results for crystalline KSiBiS4 at its relaxed geometry.

Cell: 6.580 6.756 8.749 Å, 90.00 107.26 90.00°
Element x y z (fractional)
K1 0.226 0.250 0.436
K2 0.774 0.750 0.564
Si1 0.276 0.750 0.176
Si2 0.724 0.250 0.824
Bi1 0.267 0.250 0.955
Bi2 0.733 0.750 0.045
S1 0.080 0.750 0.329
S2 0.082 0.750 0.932
S3 0.490 0.504 0.218
S4 0.490 0.996 0.218
S5 0.510 0.004 0.782
S6 0.510 0.496 0.782
S7 0.918 0.250 0.068
S8 0.920 0.250 0.671

*Q*
DFT (PBE) results for crystalline KSiBiS4 at its relaxed geometry.

Cell: 6.584 6.800 17.509 Å, 90.00 106.95 90.00°
Element x y z (fractional)
K1 0.223 0.248 0.466
K2 0.223 0.252 0.966
K3 0.777 0.748 0.034
K4 0.777 0.752 0.534
Si1 0.288 0.735 0.841
Si2 0.288 0.765 0.341
Si3 0.712 0.235 0.659
Si4 0.712 0.265 0.159
Bi1 0.262 0.198 0.222
Bi2 0.262 0.302 0.722
Bi3 0.738 0.698 0.278
Bi4 0.738 0.802 0.778
S1 0.083 0.748 0.415
S2 0.083 0.752 0.915
S3 0.096 0.685 0.720
S4 0.096 0.815 0.220
S5 0.481 0.507 0.356
S6 0.481 0.993 0.856
S7 0.490 0.000 0.633
S8 0.490 0.500 0.133
S9 0.510 0.000 0.367
S10 0.510 0.500 0.867
S11 0.519 0.007 0.144
S12 0.519 0.493 0.644
S13 0.904 0.185 0.780
S14 0.904 0.315 0.280
S15 0.917 0.248 0.085
S16 0.917 0.252 0.585

On energetic grounds, *Q* is preferred over the next structure by 11 meV per atom.